PmNd9Mg2: relaxed, PBE.

abc: 5.0869 5.0869 15.3323
angles: 90.00 90.00 90.00
Closest atoms and distances in Å follow each position.
Atoms (fractional coordinates):
Pm: 0.0000 0.0000 0.0000  12 Nd 3.60-3.66
Nd: 0.5000 0.5000 0.0000  4 Pm 3.60, 8 Nd 3.66
Nd: 0.5000 0.5000 0.3368  8 Nd 3.57-3.59, 4 Mg 3.60
Nd: 0.5000 0.5000 0.6632  8 Nd 3.57-3.59, 4 Mg 3.60
Nd: 0.5000 0.0000 0.1713  8 Nd 3.59-3.66, 2 Mg 3.60, 2 Pm 3.66
Nd: 0.5000 0.0000 0.5000  4 Mg 3.56, 8 Nd 3.57-3.60
Nd: 0.5000 0.0000 0.8287  8 Nd 3.59-3.66, 2 Mg 3.60, 2 Pm 3.66
Nd: 0.0000 0.5000 0.1713  8 Nd 3.59-3.66, 2 Mg 3.60, 2 Pm 3.66
Nd: 0.0000 0.5000 0.5000  4 Mg 3.56, 8 Nd 3.57-3.60
Nd: 0.0000 0.5000 0.8287  8 Nd 3.59-3.66, 2 Mg 3.60, 2 Pm 3.66
Mg: 0.0000 0.0000 0.3372  12 Nd 3.56-3.60
Mg: 0.0000 0.0000 0.6628  12 Nd 3.56-3.60

Computed properties:
raw total energy	-4.235	eV/atom
total magnetization	0.0000	μB/atom
density	6.244	g cm⁻³
crystal system	tetragonal